Density functional theory data (PBE-GGA) for a geometry-optimized Mn2AlP structure.

Unit cell a=7.835 b=7.835 c=7.835 alpha=20.37 beta=20.37 gamma=20.37
Site moments in Bohr magnetons follow the coordinates.
Atoms (fractional coordinates):
P  0.510  0.510  0.510  0.05
Mn  0.997  0.997  0.997  1.88
Mn  0.245  0.245  0.245  -0.90
Al  0.748  0.748  0.748  -0.03

Formation energy   -38 meV/atom
Space-group type   No. 160
DOS(E_F)   0.625 states/eV per atom
Magnetization   0.25 μB/atom
Excess energy over the best structure of this formula in the dataset   269 meV per atom
Raw total energy   -6.911 eV per atom

Density functional theory data (PBE-GGA) for a geometry-optimized TiCu2Ge2 structure.

Unit cell a=7.186 b=7.186 c=2.905 alpha=90.00 beta=90.00 gamma=90.00
Atoms (fractional coordinates):
Ge  0.340  0.840  0.000
Ge  0.840  0.660  0.000
Ge  0.660  0.160  0.000
Ge  0.160  0.340  0.000
Cu  0.137  0.637  0.500
Cu  0.637  0.863  0.500
Cu  0.863  0.363  0.500
Cu  0.363  0.137  0.500
Ti  0.000  0.000  0.000
Ti  0.500  0.500  0.000

Formation energy   -43 meV/atom
Space-group type   No. 127
DOS(E_F)   0.304 states/eV per atom
Magnetization   0.00 μB/atom
Raw total energy   -5.107 eV per atom

Density functional theory data (PBE-GGA) for a geometry-optimized Er2LuMn structure.

Unit cell a=3.487 b=3.487 c=8.479 alpha=90.00 beta=90.00 gamma=90.00
Site moments in Bohr magnetons follow the coordinates.
Atoms (fractional coordinates):
Lu  0.500  0.500  0.500  0.29
Mn  0.500  0.500  0.000  3.29
Er  0.000  0.000  0.796  -0.11
Er  0.000  0.000  0.204  -0.11

Formation energy   117 meV/atom
Space-group type   No. 123
DOS(E_F)   1.513 states/eV per atom
Magnetization   0.90 μB/atom
Excess energy over the best structure of this formula in the dataset   0 meV per atom
Raw total energy   -5.587 eV per atom